(1)
Material: Y2CoNi
Method: DFT, PBE
State: optimized geometry

## Properties
calculated formation energy	138	meV/atom
total magnetic moment	0.000	μB per atom

abc: 7.213 7.213 5.977
angles: 52.88 52.88 90.00
Element x y z (fractional)
Y: 0.618 0.125 0.250
Y: 0.132 0.625 0.250
Y: 0.375 0.382 0.750
Y: 0.875 0.868 0.750
Ni: 0.000 0.000 0.000
Ni: 0.750 0.250 0.500
Co: 0.500 0.500 0.000
Co: 0.250 0.750 0.500

(2)
Material: KBaTlGe
Method: DFT, PBE
State: optimized geometry

## Properties
calculated formation energy	-162	meV/atom
total magnetic moment	0.000	μB per atom

abc: 5.821 5.821 5.821
angles: 60.00 60.00 60.00
Element x y z (fractional)
K: 0.750 0.750 0.750
Tl: 0.500 0.500 0.500
Ge: 0.000 0.000 0.000
Ba: 0.250 0.250 0.250

(3)
Material: RbNaCdRh2
Method: DFT, PBE
State: optimized geometry

## Properties
calculated formation energy	753	meV/atom
total magnetic moment	0.139	μB per atom

abc: 5.124 5.466 5.124
angles: 90.00 90.00 90.00
Element x y z (fractional)
Na: 0.000 0.500 0.000
Rh: 0.000 0.000 0.500
Rh: 0.500 0.000 0.000
Rb: 0.500 0.500 0.500
Cd: 0.000 0.000 0.000

(4)
Material: Na16Cd12Pt
Method: DFT, PBE
State: optimized geometry

## Properties
calculated formation energy	-100	meV/atom
total magnetic moment	0.000	μB per atom

abc: 9.899 9.899 9.981
angles: 108.70 108.70 107.96
Element x y z (fractional)
Na: 0.400 0.400 0.316
Na: 0.996 0.996 0.002
Na: 0.985 0.985 0.631
Na: 0.299 0.299 0.704
Na: 0.654 0.436 0.033
Na: 0.580 0.288 0.591
Na: 0.001 0.681 0.411
Na: 0.993 0.633 0.005
Na: 0.711 0.331 0.306
Na: 0.403 0.988 0.674
Na: 0.988 0.403 0.674
Na: 0.331 0.711 0.306
Na: 0.633 0.993 0.005
Na: 0.681 0.001 0.411
Na: 0.288 0.580 0.591
Na: 0.436 0.654 0.033
Cd: 0.817 0.817 0.203
Cd: 0.652 0.652 0.839
Cd: 0.335 0.153 0.966
Cd: 0.820 0.635 0.629
Cd: 0.186 0.999 0.355
Cd: 0.371 0.001 0.180
Cd: 0.177 0.793 0.820
Cd: 0.793 0.177 0.820
Cd: 0.001 0.371 0.180
Cd: 0.999 0.186 0.355
Cd: 0.635 0.820 0.629
Cd: 0.153 0.335 0.966
Pt: 0.683 0.683 0.364